Entry 1:
Below is Re3PdPt after structural relaxation, with properties calculated at the PBE level. Values from VASP.

Properties
Distance to the lowest polymorph of the same formula   0.00 eV per formula unit
Spin magnetization   0.000 μB per formula unit
Crystal system   cubic
Calculated formation energy   2459.0 meV/atom
SG   Pm-3m (221)

```
&SYSTEM
  ibrav = 0, nat = 5, ntyp = 3
/
ATOMIC_SPECIES
Re 186.21 Re.upf
Pd 106.42 Pd.upf
Pt 195.08 Pt.upf
CELL_PARAMETERS angstrom
-3.105 0.669 -3.481
-3.443 -1.664 2.753
-0.839 4.357 1.585
ATOMIC_POSITIONS angstrom
Re -1.722 -0.832 1.376
Re -0.419 2.179 0.793
Re -1.553 0.334 -1.740
Pd -3.694 1.681 0.429
Pt 0.000 0.000 0.000
```



Entry 2:
Below is RePd2Pt9 after structural relaxation, with properties calculated at the PBE level. Values from VASP.

Properties
Spin magnetization   0.001 μB per formula unit
Crystal system   tetragonal
Calculated formation energy   -46.6 meV/atom
SG   P4/mmm (123)

```
&SYSTEM
  ibrav = 0, nat = 12, ntyp = 3
/
ATOMIC_SPECIES
Re 186.21 Re.upf
Pd 106.42 Pd.upf
Pt 195.08 Pt.upf
CELL_PARAMETERS angstrom
3.954 0.000 0.000
0.000 3.954 0.000
0.000 0.000 11.883
ATOMIC_POSITIONS angstrom
Re 0.000 0.000 0.000
Pd 0.000 0.000 3.938
Pd 0.000 0.000 7.946
Pt 1.977 1.977 0.000
Pt 1.977 1.977 3.946
Pt 1.977 1.977 7.938
Pt 1.977 0.000 1.915
Pt 1.977 0.000 5.942
Pt 1.977 0.000 9.969
Pt 0.000 1.977 1.915
Pt 0.000 1.977 5.942
Pt 0.000 1.977 9.969
```



Entry 3:
Below is RePd2Pt6 after structural relaxation, with properties calculated at the PBE level. Values from VASP.

Properties
Spin magnetization   0.000 μB per formula unit
Crystal system   triclinic
Calculated formation energy   -37.3 meV/atom
SG   P-1 (2)

```
&SYSTEM
  ibrav = 0, nat = 18, ntyp = 3
/
ATOMIC_SPECIES
Re 186.21 Re.upf
Pd 106.42 Pd.upf
Pt 195.08 Pt.upf
CELL_PARAMETERS angstrom
-4.976 -1.246 -1.735
3.270 0.630 -6.401
1.996 -6.906 1.542
ATOMIC_POSITIONS angstrom
Re 2.497 0.033 -5.484
Re -2.206 -7.554 -1.111
Pd 1.136 -1.798 -2.204
Pd 1.437 -4.261 -3.508
Pd -0.845 -5.723 -4.390
Pd -1.146 -3.261 -3.086
Pt -0.337 -5.517 -1.661
Pt 1.996 -4.097 -0.796
Pt 0.628 -2.005 -4.934
Pt -1.705 -3.425 -5.799
Pt 0.888 -4.502 -6.245
Pt -2.029 -1.033 -4.511
Pt -0.597 -3.019 -0.350
Pt 2.320 -6.489 -2.084
Pt -1.432 -0.793 -1.757
Pt 3.584 -4.670 -5.313
Pt 1.723 -6.729 -4.837
Pt -3.293 -2.852 -1.282
```



Entry 4:
Below is RePdPt after structural relaxation, with properties calculated at the PBE level. Values from VASP.

Properties
Distance to the lowest polymorph of the same formula   0.00 eV per formula unit
Spin magnetization   0.000 μB per formula unit
Crystal system   tetragonal
Calculated formation energy   -109.1 meV/atom
SG   P4/nmm (129)

```
&SYSTEM
  ibrav = 0, nat = 6, ntyp = 3
/
ATOMIC_SPECIES
Pd 106.42 Pd.upf
Pt 195.08 Pt.upf
Re 186.21 Re.upf
CELL_PARAMETERS angstrom
2.772 0.000 0.000
0.000 2.772 0.000
0.000 0.000 11.921
ATOMIC_POSITIONS angstrom
Pd 0.000 1.386 6.980
Pd 1.386 0.000 4.942
Pt 0.000 1.386 2.891
Pt 1.386 0.000 9.030
Re 1.386 0.000 0.920
Re 0.000 1.386 11.001
```



Entry 5:
Below is RePd2Pt after structural relaxation, with properties calculated at the PBE level. Values from VASP.

Properties
Distance to the lowest polymorph of the same formula   0.00 eV per formula unit
Spin magnetization   0.000 μB per formula unit
Crystal system   monoclinic
Calculated formation energy   -71.4 meV/atom
SG   C2/m (12)

```
&SYSTEM
  ibrav = 0, nat = 8, ntyp = 3
/
ATOMIC_SPECIES
Re 186.21 Re.upf
Pd 106.42 Pd.upf
Pt 195.08 Pt.upf
CELL_PARAMETERS angstrom
2.752 -0.004 -0.005
-1.368 4.584 -0.652
0.021 -0.170 9.676
ATOMIC_POSITIONS angstrom
Re 1.396 0.982 8.929
Re 0.008 3.428 0.091
Pd 0.018 1.054 6.534
Pd 1.386 3.357 2.485
Pd 1.387 1.063 4.059
Pd 0.017 3.347 4.960
Pt 0.003 1.066 1.581
Pt 1.401 3.344 7.438
```



Entry 6:
Below is RePdPt after structural relaxation, with properties calculated at the PBE level. Values from VASP.

Properties
Distance to the lowest polymorph of the same formula   0.29 eV per formula unit
Spin magnetization   0.000 μB per formula unit
Crystal system   trigonal
Calculated formation energy   -12.7 meV/atom
SG   P3m1 (156)

```
&SYSTEM
  ibrav = 0, nat = 3, ntyp = 3
/
ATOMIC_SPECIES
Re 186.21 Re.upf
Pd 106.42 Pd.upf
Pt 195.08 Pt.upf
CELL_PARAMETERS angstrom
2.781 0.000 0.000
-1.390 2.408 0.000
0.000 0.000 6.812
ATOMIC_POSITIONS angstrom
Re 1.390 0.803 5.219
Pd 0.000 1.605 3.002
Pt 0.000 0.000 0.611
```



Entry 7:
Below is RePd3Pt after structural relaxation, with properties calculated at the PBE level. Values from VASP.

Properties
Distance to the lowest polymorph of the same formula   0.00 eV per formula unit
Spin magnetization   0.000 μB per formula unit
Crystal system   cubic
Calculated formation energy   1442.1 meV/atom
SG   Pm-3m (221)

```
&SYSTEM
  ibrav = 0, nat = 5, ntyp = 3
/
ATOMIC_SPECIES
Re 186.21 Re.upf
Pd 106.42 Pd.upf
Pt 195.08 Pt.upf
CELL_PARAMETERS angstrom
4.731 0.000 0.000
0.000 4.731 0.000
0.000 0.000 4.731
ATOMIC_POSITIONS angstrom
Re 0.000 0.000 0.000
Pd 0.000 2.366 0.000
Pd 0.000 0.000 2.366
Pd 2.366 0.000 0.000
Pt 2.366 2.366 2.366
```



Entry 8:
Below is RePdPt2 after structural relaxation, with properties calculated at the PBE level. Values from VASP.

Properties
Distance to the lowest polymorph of the same formula   2.66 eV per formula unit
Spin magnetization   0.000 μB per formula unit
Crystal system   trigonal
Calculated formation energy   514.1 meV/atom
SG   R3m (160)

```
&SYSTEM
  ibrav = 0, nat = 4, ntyp = 3
/
ATOMIC_SPECIES
Re 186.21 Re.upf
Pd 106.42 Pd.upf
Pt 195.08 Pt.upf
CELL_PARAMETERS angstrom
3.861 0.000 0.000
1.930 3.343 0.000
1.930 1.114 5.589
ATOMIC_POSITIONS angstrom
Re 3.861 2.229 2.778
Pd 3.861 2.229 0.040
Pt 1.930 1.114 4.102
Pt 1.930 1.114 1.463
```



Entry 9:
Below is RePdPt after structural relaxation, with properties calculated at the PBE level. Values from VASP.

Properties
Distance to the lowest polymorph of the same formula   0.22 eV per formula unit
Spin magnetization   0.000 μB per formula unit
Crystal system   monoclinic
Calculated formation energy   -34.5 meV/atom
SG   C2 (5)

```
&SYSTEM
  ibrav = 0, nat = 12, ntyp = 3
/
ATOMIC_SPECIES
Re 186.21 Re.upf
Pd 106.42 Pd.upf
Pt 195.08 Pt.upf
CELL_PARAMETERS angstrom
4.841 0.000 -0.006
0.000 8.221 0.000
-1.597 0.000 4.567
ATOMIC_POSITIONS angstrom
Re 0.879 2.090 1.271
Re 2.365 2.090 3.291
Re 0.080 6.201 3.554
Re 3.163 6.201 1.008
Pd 0.767 4.849 1.186
Pd 2.476 4.849 3.376
Pd -0.031 0.739 3.470
Pd 3.275 0.739 1.092
Pt 0.777 7.530 1.184
Pt 2.467 7.530 3.378
Pt -0.022 3.419 3.468
Pt 3.265 3.419 1.094
```



Entry 10:
Below is RePdPt after structural relaxation, with properties calculated at the PBE level. Values from VASP.

Properties
Distance to the lowest polymorph of the same formula   2.67 eV per formula unit
Spin magnetization   0.000 μB per formula unit
Crystal system   trigonal
Calculated formation energy   781.2 meV/atom
SG   P3m1 (156)

```
&SYSTEM
  ibrav = 0, nat = 3, ntyp = 3
/
ATOMIC_SPECIES
Re 186.21 Re.upf
Pd 106.42 Pd.upf
Pt 195.08 Pt.upf
CELL_PARAMETERS angstrom
3.645 0.000 0.000
-1.822 3.156 0.000
0.000 0.000 4.732
ATOMIC_POSITIONS angstrom
Re 1.822 1.052 1.626
Pd 0.000 0.000 0.151
Pt 0.000 2.104 2.955
```



Entry 11:
Below is RePd4Pt5 after structural relaxation, with properties calculated at the PBE level. Values from VASP.

Properties
Spin magnetization   0.000 μB per formula unit
Crystal system   tetragonal
Calculated formation energy   -80.2 meV/atom
SG   P4/mmm (123)

```
&SYSTEM
  ibrav = 0, nat = 10, ntyp = 3
/
ATOMIC_SPECIES
Re 186.21 Re.upf
Pd 106.42 Pd.upf
Pt 195.08 Pt.upf
CELL_PARAMETERS angstrom
2.782 0.000 0.000
0.000 2.782 0.000
0.000 0.000 19.881
ATOMIC_POSITIONS angstrom
Re 0.000 0.000 0.000
Pd 0.000 0.000 3.954
Pd 0.000 0.000 7.954
Pd 0.000 0.000 11.927
Pd 0.000 0.000 15.927
Pt 1.391 1.391 1.889
Pt 1.391 1.391 5.963
Pt 1.391 1.391 9.941
Pt 1.391 1.391 13.918
Pt 1.391 1.391 17.993
```



Entry 12:
Below is RePd4Pt7 after structural relaxation, with properties calculated at the PBE level. Values from VASP.

Properties
Spin magnetization   0.000 μB per formula unit
Crystal system   trigonal
Calculated formation energy   -45.1 meV/atom
SG   P-3m1 (164)

```
&SYSTEM
  ibrav = 0, nat = 12, ntyp = 3
/
ATOMIC_SPECIES
Re 186.21 Re.upf
Pd 106.42 Pd.upf
Pt 195.08 Pt.upf
CELL_PARAMETERS angstrom
-2.148 1.765 -0.250
1.122 -1.163 -2.275
-17.550 -21.055 2.104
ATOMIC_POSITIONS angstrom
Re -8.775 -10.527 1.052
Pd -16.054 -19.486 0.328
Pd -2.521 -0.967 -0.749
Pd -11.632 -14.181 -0.202
Pd -6.943 -6.272 -0.219
Pt 0.000 0.000 0.000
Pt -7.339 -9.031 -0.716
Pt -11.236 -11.422 0.295
Pt -2.892 -3.696 -1.250
Pt -15.682 -16.757 0.828
Pt -13.133 -15.756 1.574
Pt -4.417 -5.299 0.530
```



Entry 13:
Below is RePdPt2 after structural relaxation, with properties calculated at the PBE level. Values from VASP.

Properties
Distance to the lowest polymorph of the same formula   2.50 eV per formula unit
Spin magnetization   0.000 μB per formula unit
Crystal system   tetragonal
Calculated formation energy   473.8 meV/atom
SG   I-42d (122)

```
&SYSTEM
  ibrav = 0, nat = 8, ntyp = 3
/
ATOMIC_SPECIES
Re 186.21 Re.upf
Pd 106.42 Pd.upf
Pt 195.08 Pt.upf
CELL_PARAMETERS angstrom
7.096 0.000 0.000
0.000 7.096 0.000
3.548 3.548 2.712
ATOMIC_POSITIONS angstrom
Re 0.000 0.000 0.000
Re 7.096 3.548 1.356
Pd 3.548 3.548 0.000
Pd 3.548 7.096 1.356
Pt 5.475 1.774 0.678
Pt 1.621 5.322 0.678
Pt 5.322 5.169 2.034
Pt 8.870 9.023 2.034
```